CsCdCl2 after structural relaxation, computed with PBE.

Output
Spin magnetization   0.000 Bohr magnetons per cell
Energy   -2.441 eV per atom
D(E_F)   2.24 states/eV per cell

Lattice parameters (Å, degrees): 9.530 9.530 9.530 30.18 30.18 30.18
Sites, in units of the cell vectors:
Cs1 0.000 0.000 0.000
Cd1 0.500 0.500 0.500
Cl1 0.405 0.405 0.405
Cl2 0.595 0.595 0.595